<one>
The following is a PBE-GGA calculation of a geometry-optimized MnP2NCl structure, from Alexandria via LeMat-Bulk.

As for the volume: 18.32 Å³ per atom.

Cell: 4.2923 4.2923 4.9709 Å, 90.00 90.00 90.00°
Last column: magnetic moment on the atom in μB.
Atoms (fractional coordinates):
Mn 0.0000 0.0000 0.0000  -1.02
P 0.0000 0.5000 0.0000  0.02
P 0.5000 0.0000 0.0000  0.02
Cl 0.0000 0.0000 0.5000  0.14
N 0.5000 0.5000 0.5000  1.71

<two>
The following is a PBE-GGA calculation of a geometry-optimized MnP2NCl structure, from Alexandria via LeMat-Bulk.

As for the volume: 13.20 Å³ per atom.

Cell: 3.9122 3.9122 4.3118 Å, 90.00 90.00 90.00°
Last column: magnetic moment on the atom in μB.
Atoms (fractional coordinates):
N 0.0000 0.0000 0.0000  0.01
Mn 0.5000 0.5000 0.5000  -0.06
Cl 0.0000 0.0000 0.5000  0.03
P 0.0000 0.5000 0.0000  0.02
P 0.5000 0.0000 0.0000  0.02

The winner here is <one>, beating the second structure by 59 meV per atom.

<one>
The following is a PBE-GGA calculation of a geometry-optimized MnS2NCl structure, from Alexandria via LeMat-Bulk.

As for the volume: 14.47 Å³ per atom.

Cell: 4.0284 4.0284 4.4592 Å, 90.00 90.00 90.00°
Last column: magnetic moment on the atom in μB.
Atoms (fractional coordinates):
Mn 0.5000 0.5000 0.5000  0.07
S 0.0000 0.5000 0.0000  -0.02
S 0.5000 0.0000 0.0000  -0.02
Cl 0.0000 0.0000 0.5000  0.04
N 0.0000 0.0000 0.0000  -0.01

<two>
The following is a PBE-GGA calculation of a geometry-optimized MnS2NCl structure, from Alexandria via LeMat-Bulk.

As for the volume: 15.05 Å³ per atom.

Cell: 4.6427 4.6427 3.4922 Å, 90.00 90.00 90.00°
Atoms (fractional coordinates):
N 0.0000 0.0000 0.5000
S 0.5000 0.0000 0.0000
S 0.0000 0.5000 0.0000
Mn 0.0000 0.0000 0.0000
Cl 0.5000 0.5000 0.5000

<three>
The following is a PBE-GGA calculation of a geometry-optimized MnS2NCl structure, from Alexandria via LeMat-Bulk.

As for the volume: 17.10 Å³ per atom.

Cell: 4.2852 4.2852 4.6561 Å, 90.00 90.00 90.00°
Atoms (fractional coordinates):
N 0.5000 0.5000 0.5000
Mn 0.0000 0.0000 0.0000
Cl 0.0000 0.0000 0.5000
S 0.5000 0.0000 0.0000
S 0.0000 0.5000 0.0000

The winner here is <two>, beating the second structure by 817 meV per atom.